A plane-wave DFT calculation with GGA-PBE was carried out for a geometry-optimized La7CuBr12 structure.

Results
As for the space-group type: No. 148. Its raw formation energy is -1.6225 eV per atom. As for the density of states at the Fermi level: 10.01 states/eV per cell.

Cell lengths 9.677, 9.677, 9.677 Å; angles 108.19, 108.19, 108.19 degrees
Sites, in units of the cell vectors:
Br: 0.217 0.077 0.690
Br: 0.838 0.607 0.517
Br: 0.517 0.838 0.607
Br: 0.783 0.923 0.310
Br: 0.310 0.783 0.923
Br: 0.077 0.690 0.217
Br: 0.607 0.517 0.838
Br: 0.690 0.217 0.077
Br: 0.393 0.483 0.162
Br: 0.162 0.393 0.483
Br: 0.483 0.162 0.393
Br: 0.923 0.310 0.783
La: 0.876 0.960 0.669
La: 0.500 0.500 0.500
La: 0.669 0.876 0.960
La: 0.040 0.331 0.124
La: 0.331 0.124 0.040
La: 0.960 0.669 0.876
La: 0.124 0.040 0.331
Cu: 0.000 0.000 0.000



A plane-wave DFT calculation with GGA-PBE was carried out for a geometry-optimized La2CuBr structure.

Results
As for the space-group type: No. 12. Its raw formation energy is -0.5592 eV per atom. As for the density of states at the Fermi level: 3.93 states/eV per cell. Its relative energy among the computed polymorphs is 171 meV per atom.

Cell lengths 8.428, 5.417, 3.520 Å; angles 90.17, 65.08, 129.87 degrees
Sites, in units of the cell vectors:
La: 0.000 0.000 0.000
La: 0.500 0.000 0.500
Cu: 0.500 0.500 0.000
Br: 0.000 0.500 0.500



A plane-wave DFT calculation with GGA-PBE was carried out for a geometry-optimized LaCuBr4 structure.

Results
As for the space-group type: No. 15. Its raw formation energy is -1.4012 eV per atom. As for the density of states at the Fermi level: 0.00 states/eV per cell. Its relative energy among the computed polymorphs is 0 meV per atom.

Cell lengths 8.058, 7.776, 7.776 Å; angles 113.79, 107.52, 107.52 degrees
Sites, in units of the cell vectors:
La: 0.750 0.877 0.123
La: 0.250 0.123 0.877
Br: 0.533 0.350 0.771
Br: 0.033 0.771 0.350
Br: 0.905 0.744 0.782
Br: 0.467 0.650 0.229
Br: 0.405 0.782 0.744
Br: 0.967 0.229 0.650
Br: 0.595 0.218 0.256
Br: 0.095 0.256 0.218
Cu: 0.750 0.609 0.391
Cu: 0.250 0.391 0.609



A plane-wave DFT calculation with GGA-PBE was carried out for a geometry-optimized La2CuBr structure.

Results
As for the space-group type: No. 160. Its raw formation energy is -0.6744 eV per atom. As for the density of states at the Fermi level: 3.94 states/eV per cell. Its relative energy among the computed polymorphs is 56 meV per atom.

Cell lengths 4.209, 4.209, 8.143 Å; angles 75.02, 75.02, 60.00 degrees
Sites, in units of the cell vectors:
La: 0.262 0.262 0.215
La: 0.072 0.072 0.784
Br: 0.499 0.499 0.503
Cu: 0.667 0.667 0.998



A plane-wave DFT calculation with GGA-PBE was carried out for a geometry-optimized La2CuBr structure.

Results
As for the space-group type: No. 119. Its raw formation energy is -0.4320 eV per atom. As for the density of states at the Fermi level: 4.03 states/eV per cell. Its relative energy among the computed polymorphs is 299 meV per atom.

Cell lengths 7.002, 7.002, 7.002 Å; angles 144.70, 144.70, 50.79 degrees
Sites, in units of the cell vectors:
Cu: 0.750 0.250 0.500
La: 0.250 0.750 0.500
La: 0.000 0.000 0.000
Br: 0.500 0.500 0.000



A plane-wave DFT calculation with GGA-PBE was carried out for a geometry-optimized La4Cu2Br3 structure.

Results
As for the space-group type: No. 12. Its raw formation energy is -0.9081 eV per atom. As for the density of states at the Fermi level: 9.07 states/eV per cell.

Cell lengths 4.261, 4.261, 18.472 Å; angles 90.05, 89.95, 120.01 degrees
Sites, in units of the cell vectors:
Br: 0.666 0.334 0.399
Br: 0.334 0.666 0.601
Br: 0.000 0.000 0.000
Cu: 0.333 0.667 0.202
Cu: 0.667 0.333 0.798
La: 0.001 0.999 0.704
La: 0.999 0.001 0.296
La: 0.334 0.666 0.888
La: 0.666 0.334 0.112



A plane-wave DFT calculation with GGA-PBE was carried out for a geometry-optimized La2CuBr structure.

Results
As for the space-group type: No. 225. Its raw formation energy is -0.5013 eV per atom. As for the density of states at the Fermi level: 2.34 states/eV per cell. Its relative energy among the computed polymorphs is 229 meV per atom.

Cell lengths 5.274, 5.274, 5.274 Å; angles 60.00, 60.00, 60.00 degrees
Sites, in units of the cell vectors:
La: 0.250 0.250 0.250
La: 0.750 0.750 0.750
Cu: 0.000 0.000 0.000
Br: 0.500 0.500 0.500



A plane-wave DFT calculation with GGA-PBE was carried out for a geometry-optimized LaCuBr3 structure.

Results
As for the space-group type: No. 221. Its raw formation energy is -0.8635 eV per atom. As for the density of states at the Fermi level: 12.64 states/eV per cell.

Cell lengths 5.864, 5.864, 5.864 Å; angles 90.00, 90.00, 90.00 degrees
Sites, in units of the cell vectors:
Br: 0.000 0.000 0.500
Br: 0.000 0.500 0.000
Br: 0.500 0.000 0.000
La: 0.000 0.000 0.000
Cu: 0.500 0.500 0.500



A plane-wave DFT calculation with GGA-PBE was carried out for a geometry-optimized La2CuBr structure.

Results
As for the space-group type: No. 10. Its raw formation energy is -0.6366 eV per atom. As for the density of states at the Fermi level: 4.68 states/eV per cell. Its relative energy among the computed polymorphs is 94 meV per atom.

Cell lengths 3.557, 3.564, 9.073 Å; angles 66.92, 90.00, 90.00 degrees
Sites, in units of the cell vectors:
La: 0.000 0.030 0.972
La: 0.000 0.470 0.528
Br: 0.500 0.250 0.250
Cu: 0.500 0.750 0.750



A plane-wave DFT calculation with GGA-PBE was carried out for a geometry-optimized La4CuBr structure.

Results
As for the space-group type: No. 216. Its raw formation energy is 0.3228 eV per atom. As for the density of states at the Fermi level: 9.42 states/eV per cell.

Cell lengths 6.451, 6.451, 6.451 Å; angles 60.00, 60.00, 60.00 degrees
Sites, in units of the cell vectors:
Cu: 0.000 0.000 0.000
La: 0.374 0.374 0.878
La: 0.878 0.374 0.374
La: 0.374 0.878 0.374
La: 0.374 0.374 0.374
Br: 0.750 0.750 0.750



A plane-wave DFT calculation with GGA-PBE was carried out for a geometry-optimized La2CuBr structure.

Results
As for the space-group type: No. 160. Its raw formation energy is -0.3431 eV per atom. As for the density of states at the Fermi level: 1.01 states/eV per cell. Its relative energy among the computed polymorphs is 388 meV per atom.

Cell lengths 10.232, 10.232, 10.232 Å; angles 22.09, 22.09, 22.09 degrees
Sites, in units of the cell vectors:
La: 0.242 0.242 0.242
La: 0.011 0.011 0.011
Br: 0.505 0.505 0.505
Cu: 0.742 0.742 0.742



A plane-wave DFT calculation with GGA-PBE was carried out for a geometry-optimized La3Cu5Br12 structure.

Results
As for the space-group type: No. 230. Its raw formation energy is -0.9793 eV per atom. As for the density of states at the Fermi level: 40.28 states/eV per cell.

Cell lengths 14.138, 14.138, 14.138 Å; angles 109.47, 109.47, 109.47 degrees
Sites, in units of the cell vectors:
La: 0.625 0.375 0.750
La: 0.750 0.875 0.625
La: 0.750 0.375 0.125
La: 0.625 0.250 0.375
La: 0.125 0.250 0.875
La: 0.875 0.125 0.250
La: 0.375 0.750 0.625
La: 0.250 0.125 0.375
La: 0.250 0.625 0.875
La: 0.875 0.750 0.125
La: 0.375 0.625 0.250
La: 0.125 0.875 0.750
Br: 0.910 0.091 0.620
Br: 0.710 0.590 0.181
Br: 0.620 0.591 0.910
Br: 0.909 0.819 0.529
Br: 0.681 0.471 0.591
Br: 0.590 0.880 0.409
Br: 0.120 0.410 0.091
Br: 0.319 0.529 0.409
Br: 0.410 0.120 0.591
Br: 0.529 0.319 0.909
Br: 0.681 0.210 0.590
Br: 0.410 0.290 0.319
Br: 0.380 0.971 0.790
Br: 0.971 0.591 0.181
Br: 0.971 0.380 0.290
Br: 0.710 0.120 0.029
Br: 0.471 0.790 0.880
Br: 0.090 0.181 0.210
Br: 0.910 0.819 0.790
Br: 0.290 0.880 0.971
Br: 0.591 0.971 0.681
Br: 0.380 0.409 0.090
Br: 0.090 0.909 0.380
Br: 0.620 0.029 0.210
Br: 0.819 0.910 0.290
Br: 0.591 0.620 0.410
Br: 0.790 0.319 0.910
Br: 0.181 0.091 0.971
Br: 0.290 0.410 0.819
Br: 0.880 0.290 0.471
Br: 0.029 0.620 0.710
Br: 0.210 0.529 0.620
Br: 0.091 0.910 0.120
Br: 0.880 0.590 0.909
Br: 0.319 0.790 0.410
Br: 0.181 0.090 0.710
Br: 0.790 0.471 0.380
Br: 0.409 0.029 0.319
Br: 0.029 0.409 0.819
Br: 0.529 0.210 0.120
Br: 0.409 0.380 0.590
Br: 0.590 0.710 0.681
Br: 0.210 0.681 0.090
Br: 0.909 0.090 0.880
Br: 0.819 0.909 0.029
Br: 0.471 0.681 0.091
Br: 0.091 0.181 0.471
Br: 0.120 0.710 0.529
Cu: 0.500 0.000 0.000
Cu: 0.375 0.125 0.750
Cu: 0.500 0.500 0.500
Cu: 0.875 0.625 0.750
Cu: 0.750 0.125 0.875
Cu: 0.250 0.375 0.625
Cu: 0.625 0.750 0.875
Cu: 0.375 0.250 0.125
Cu: 0.500 0.500 0.000
Cu: 0.250 0.875 0.125
Cu: 0.625 0.875 0.250
Cu: 0.000 0.000 0.500
Cu: 0.000 0.500 0.000
Cu: 0.000 0.000 0.000
Cu: 0.750 0.625 0.375
Cu: 0.125 0.375 0.250
Cu: 0.500 0.000 0.500
Cu: 0.000 0.500 0.500
Cu: 0.875 0.250 0.625
Cu: 0.125 0.750 0.375



A plane-wave DFT calculation with GGA-PBE was carried out for a geometry-optimized LaMgCu2Br structure.

Results
As for the space-group type: No. 123. Its raw formation energy is 0.4922 eV per atom. As for the density of states at the Fermi level: 5.55 states/eV per cell.

Cell lengths 4.918, 5.239, 4.918 Å; angles 90.00, 90.00, 90.00 degrees
Sites, in units of the cell vectors:
La: 0.500 0.500 0.500
Cu: 0.000 0.000 0.500
Cu: 0.500 0.000 0.000
Mg: 0.000 0.500 0.000
Br: 0.000 0.000 0.000



A plane-wave DFT calculation with GGA-PBE was carried out for a geometry-optimized La4CuBr2N structure.

Results
As for the space-group type: No. 10. Its raw formation energy is -1.0434 eV per atom. As for the density of states at the Fermi level: 6.10 states/eV per cell.

Cell lengths 3.926, 7.058, 8.097 Å; angles 107.76, 90.00, 90.00 degrees
Sites, in units of the cell vectors:
La: 0.000 0.302 0.811
La: 0.000 0.698 0.189
La: 0.500 0.734 0.804
La: 0.500 0.266 0.196
Br: 0.000 0.500 0.500
Br: 0.500 0.000 0.500
Cu: 0.000 0.000 0.000
N: 0.500 0.500 0.000



A plane-wave DFT calculation with GGA-PBE was carried out for a geometry-optimized LaCuNiBr2 structure.

Results
As for the space-group type: No. 123. Its raw formation energy is 0.1642 eV per atom. As for the density of states at the Fermi level: 5.46 states/eV per cell.

Cell lengths 4.807, 5.753, 4.807 Å; angles 90.00, 90.00, 90.00 degrees
Sites, in units of the cell vectors:
Ni: 0.500 0.500 0.500
Br: 0.500 0.000 0.000
Br: 0.000 0.000 0.500
Cu: 0.000 0.000 0.000
La: 0.000 0.500 0.000



A plane-wave DFT calculation with GGA-PBE was carried out for a geometry-optimized LaTa2CuBrO7 structure.

Results
As for the space-group type: No. 123. Its raw formation energy is -2.4992 eV per atom. As for the density of states at the Fermi level: 2.67 states/eV per cell.

Cell lengths 3.927, 3.927, 11.786 Å; angles 90.00, 90.00, 90.00 degrees
Sites, in units of the cell vectors:
O: 0.500 0.500 0.657
O: 0.000 0.500 0.846
O: 0.500 0.000 0.154
O: 0.500 0.500 0.000
O: 0.000 0.500 0.154
O: 0.500 0.500 0.343
O: 0.500 0.000 0.846
Cu: 0.500 0.500 0.500
Ta: 0.500 0.500 0.810
Ta: 0.500 0.500 0.190
La: 0.000 0.000 0.000
Br: 0.000 0.000 0.500



A plane-wave DFT calculation with GGA-PBE was carried out for a geometry-optimized La8CuOs3Br4 structure.

Results
As for the space-group type: No. 166. Its raw formation energy is -0.8470 eV per atom. As for the density of states at the Fermi level: 6.56 states/eV per cell.

Cell lengths 8.416, 9.300, 8.416 Å; angles 116.92, 120.00, 90.00 degrees
Sites, in units of the cell vectors:
La: 0.239 0.695 0.479
La: 0.733 0.699 0.467
La: 0.267 0.301 0.533
La: 0.283 0.305 0.044
La: 0.239 0.695 0.956
La: 0.717 0.695 0.956
La: 0.761 0.305 0.521
La: 0.761 0.305 0.044
Br: 0.000 0.000 0.000
Br: 0.500 0.000 0.000
Br: 0.500 0.000 0.500
Br: 0.000 0.000 0.500
Os: 0.000 0.500 0.500
Os: 0.500 0.500 0.000
Os: 0.500 0.500 0.500
Cu: 0.000 0.500 0.000



A plane-wave DFT calculation with GGA-PBE was carried out for a geometry-optimized La4CuPdBr2 structure.

Results
As for the space-group type: No. 10. Its raw formation energy is -0.8769 eV per atom. As for the density of states at the Fermi level: 9.99 states/eV per cell.

Cell lengths 4.285, 7.405, 7.978 Å; angles 108.04, 90.00, 90.00 degrees
Sites, in units of the cell vectors:
La: 0.000 0.260 0.785
La: 0.000 0.740 0.215
La: 0.500 0.759 0.783
La: 0.500 0.241 0.217
Pd: 0.500 0.500 0.000
Br: 0.000 0.500 0.500
Br: 0.500 0.000 0.500
Cu: 0.000 0.000 0.000



A plane-wave DFT calculation with GGA-PBE was carried out for a geometry-optimized LaCuPtBr2 structure.

Results
As for the space-group type: No. 123. Its raw formation energy is -0.1462 eV per atom. As for the density of states at the Fermi level: 0.97 states/eV per cell.

Cell lengths 5.816, 5.468, 5.816 Å; angles 90.00, 90.00, 90.00 degrees
Sites, in units of the cell vectors:
Br: 0.500 0.000 0.000
Br: 0.000 0.000 0.500
La: 0.000 0.000 0.000
Pt: 0.000 0.500 0.000
Cu: 0.500 0.500 0.500



A plane-wave DFT calculation with GGA-PBE was carried out for a geometry-optimized La6CuPt2Br3 structure.

Results
As for the space-group type: No. 12. Its raw formation energy is -1.1218 eV per atom. As for the density of states at the Fermi level: 12.33 states/eV per cell.

Cell lengths 4.335, 9.211, 10.138 Å; angles 109.36, 102.35, 90.00 degrees
Sites, in units of the cell vectors:
La: 0.988 0.770 0.977
La: 0.012 0.230 0.023
La: 0.344 0.895 0.688
La: 0.679 0.556 0.359
La: 0.656 0.105 0.312
La: 0.321 0.444 0.641
Br: 0.165 0.833 0.330
Br: 0.500 0.500 0.000
Br: 0.835 0.167 0.670
Cu: 0.500 0.000 0.000
Pt: 0.834 0.671 0.668
Pt: 0.166 0.329 0.332